Entry 1:
Pm3DyTm7 PBE optimized geometry; E_tot = -4.38 eV per atom; E_form = 2.000 eV/f.u.
1.0
8.5966 0.0000 0.0000
0.0000 6.9969 0.0000
0.0000 -3.4985 6.0595
Pm Tm Dy
3 7 1
Direct
0.7836 0.5001 0.4999
0.7836 0.5001 0.0002
0.7836 0.9998 0.4999
0.1213 0.6652 0.8326
0.1216 0.6667 0.3333
0.4445 0.3350 0.1675
0.1213 0.1674 0.8326
0.4445 0.8325 0.1675
0.1213 0.1674 0.3348
0.4445 0.8325 0.6650
0.4452 0.3333 0.6667

Entry 2:
Pm2Y7Er4 PBE optimized geometry; E_tot = -5.42 eV per atom; E_form = 2.507 eV/f.u.
1.0
6.0850 0.0000 0.0000
-3.0425 5.2697 0.0000
0.0000 0.0000 13.3136
Er Y Pm
4 7 2
Direct
0.6667 0.3333 0.5000
0.3333 0.6667 0.5000
0.0000 0.0000 0.6044
0.0000 0.0000 0.3956
0.3548 0.0000 0.2184
0.3548 0.3548 0.7816
0.0000 0.3548 0.2184
0.6452 0.6452 0.2184
0.0000 0.0000 0.0000
0.0000 0.6452 0.7816
0.6452 0.0000 0.7816
0.3333 0.6667 0.0000
0.6667 0.3333 0.0000

Entry 3:
DyPuOs4 PBE optimized geometry; E_tot = -10.83 eV per atom; E_form = -1.142 eV/f.u.
1.0
5.3509 0.0000 0.0000
2.6754 4.6340 0.0000
2.6754 1.5447 4.3690
Pu Os Dy
1 4 1
Direct
0.0000 0.0000 0.0000
0.6251 0.6251 0.1248
0.6251 0.1248 0.6251
0.1248 0.6251 0.6251
0.6251 0.6251 0.6251
0.2500 0.2500 0.2500

Entry 4:
EuCuPb PBE optimized geometry; E_tot = -6.14 eV per atom; E_form = -0.340 eV/f.u.
1.0
3.6120 0.0000 0.0000
0.0000 3.6120 0.0000
-1.8060 -1.8060 5.8464
Pb Cu Eu
1 1 1
Direct
0.6459 0.6459 0.2918
0.2696 0.2696 0.5393
0.9345 0.9345 0.8689

Look up the E_form of the third one.
-1.142 eV/f.u.

Among the records above, which one has the highest E_form?
Pm2Y7Er4